Ba4InH2 | PBE-GGA | relaxed

The structure in CIF format:
```
data_Ba4InH2
_space_group_name_H-M_alt 'P 1'
_space_group_IT_number 1
_space_group_name_Hall 'P 1'
_cell_length_a 7.813
_cell_length_b 7.824
_cell_length_c 9.991
_cell_angle_alpha 107.20
_cell_angle_beta 107.08
_cell_angle_gamma 104.27
loop_
_atom_site_label
_atom_site_type_symbol
_atom_site_fract_x
_atom_site_fract_y
_atom_site_fract_z
_atom_site_occupancy
Ba1 Ba 0.000 0.000 0.000 1
Ba2 Ba 0.000 0.005 0.498 1
Ba3 Ba 0.104 0.610 0.709 1
Ba4 Ba 0.391 0.555 0.119 1
Ba5 Ba 0.539 0.876 0.589 1
Ba6 Ba 0.552 0.392 0.621 1
Ba7 Ba 0.606 0.108 0.211 1
Ba8 Ba 0.875 0.538 0.089 1
In1 In 0.143 0.395 0.354 1
In2 In 0.392 0.143 0.854 1
H1 H 0.149 0.721 0.009 1
H2 H 0.721 0.154 0.511 1
H3 H 0.747 0.818 0.196 1
H4 H 0.813 0.746 0.701 1
```

## Properties
Crystal system: triclinic
Space-group type: P1 (1)
E: -38.11 eV/cell
ρ: 4.3 Mg/m³

---

Ni2PdPtSe6 | PBE-GGA | relaxed

The structure in CIF format:
```
data_Ni2PdPtSe6
_space_group_name_H-M_alt 'P 1'
_space_group_IT_number 1
_space_group_name_Hall 'P 1'
_cell_length_a 8.003
_cell_length_b 8.003
_cell_length_c 6.531
_cell_angle_alpha 99.74
_cell_angle_beta 99.74
_cell_angle_gamma 86.18
loop_
_atom_site_label
_atom_site_type_symbol
_atom_site_fract_x
_atom_site_fract_y
_atom_site_fract_z
_atom_site_occupancy
Ni1 Ni 0.089 0.277 0.319 1
Ni2 Ni 0.277 0.089 0.819 1
Ni3 Ni 0.723 0.911 0.181 1
Ni4 Ni 0.911 0.723 0.681 1
Pd1 Pd 0.233 0.767 0.250 1
Pd2 Pd 0.767 0.233 0.750 1
Pt1 Pt 0.412 0.588 0.750 1
Pt2 Pt 0.588 0.412 0.250 1
Se1 Se 0.042 0.167 0.598 1
Se2 Se 0.132 0.600 0.883 1
Se3 Se 0.167 0.042 0.098 1
Se4 Se 0.296 0.474 0.371 1
Se5 Se 0.400 0.868 0.617 1
Se6 Se 0.474 0.296 0.871 1
Se7 Se 0.526 0.704 0.129 1
Se8 Se 0.600 0.132 0.383 1
Se9 Se 0.704 0.526 0.629 1
Se10 Se 0.833 0.958 0.902 1
Se11 Se 0.868 0.400 0.117 1
Se12 Se 0.958 0.833 0.402 1
```

## Properties
Crystal system: monoclinic
Space-group type: C2/c (15)
E_form (uncorrected): -0.248 eV/atom
E: -92.37 eV/cell
ρ: 7.3 Mg/m³

---

NaTa2Cr | PBE-GGA | relaxed

The structure in CIF format:
```
data_NaTa2Cr
_space_group_name_H-M_alt 'P 1'
_space_group_IT_number 1
_space_group_name_Hall 'P 1'
_cell_length_a 10.418
_cell_length_b 10.418
_cell_length_c 10.418
_cell_angle_alpha 158.19
_cell_angle_beta 158.19
_cell_angle_gamma 31.04
loop_
_atom_site_label
_atom_site_type_symbol
_atom_site_fract_x
_atom_site_fract_y
_atom_site_fract_z
_atom_site_occupancy
Na1 Na 0.000 0.000 0.000 1
Na2 Na 0.750 0.250 0.500 1
Ta1 Ta 0.140 0.625 0.015 1
Ta2 Ta 0.375 0.390 0.515 1
Ta3 Ta 0.610 0.125 0.985 1
Ta4 Ta 0.875 0.860 0.485 1
Cr1 Cr 0.250 0.750 0.500 1
Cr2 Cr 0.500 0.500 0.000 1
```

## Properties
Energy relative to the elements: 1.253 eV per atom
Crystal system: tetragonal
Space-group type: I-42d (122)
E: -59.27 eV/cell
ρ: 9.3 Mg/m³

---

AlAsN3 | PBE-GGA | relaxed

The structure in CIF format:
```
data_AlAsN3
_space_group_name_H-M_alt 'P 1'
_space_group_IT_number 1
_space_group_name_Hall 'P 1'
_cell_length_a 3.711
_cell_length_b 3.711
_cell_length_c 3.711
_cell_angle_alpha 90.00
_cell_angle_beta 90.00
_cell_angle_gamma 90.00
loop_
_atom_site_label
_atom_site_type_symbol
_atom_site_fract_x
_atom_site_fract_y
_atom_site_fract_z
_atom_site_occupancy
Al1 Al 0.000 0.000 0.000 1
As1 As 0.500 0.500 0.500 1
N1 N 0.000 0.500 0.500 1
N2 N 0.500 0.000 0.500 1
N3 N 0.500 0.500 0.000 1
```

## Properties
Crystal system: cubic
Space-group type: Pm-3m (221)
E_form (uncorrected): 1.296 eV/atom
E: -26.89 eV/cell
ρ: 4.7 Mg/m³